Record 1
Entry from the Alexandria database: an optimized crystal structure of LiYHfPt (PBE).

Values from the calculation:
The value obtained for the total energy is -6.57 eV/atom. The calculation puts the formation energy at -1.9 eV per formula unit.

a b c (Å): 6.8226 6.8226 6.8226
angles (deg): 90.00 90.00 90.00
Space group F-43m (No. 216)
Asymmetric unit:
Li1 0.0000 0.0000 0.0000 [4 per cell]
Y1 0.2500 0.2500 0.7500 [4 per cell]
Hf1 0.2500 0.2500 0.2500 [4 per cell]
Pt1 0.0000 0.0000 0.5000 [4 per cell]


Record 2
Entry from the Alexandria database: an optimized crystal structure of LiHfZrPt (PBE).

Values from the calculation:
The value obtained for the total energy is -7.03 eV/atom. The calculation puts the formation energy at -1.7 eV per formula unit.

a b c (Å): 6.6430 6.6430 6.6430
angles (deg): 90.00 90.00 90.00
Space group F-43m (No. 216)
Asymmetric unit:
Li1 0.0000 0.0000 0.0000 [4 per cell]
Hf1 0.2500 0.2500 0.7500 [4 per cell]
Zr1 0.2500 0.2500 0.2500 [4 per cell]
Pt1 0.0000 0.0000 0.5000 [4 per cell]


Record 3
Entry from the Alexandria database: an optimized crystal structure of Li4PuHf3S8 (PBE).

Values from the calculation:
The calculation puts the energy relative to the elements, uncorrected at -1.507 eV per atom. The value obtained for the total energy is -6.81 eV/atom.

a b c (Å): 7.3475 7.3475 18.6587
angles (deg): 90.00 90.00 120.00
Space group R-3m (No. 166, hexagonal axes)
Asymmetric unit:
Li1 0.0000 0.0000 0.0000 [3 per cell]
Li2 0.0000 0.5000 0.0000 [9 per cell]
Pu1 0.0000 0.0000 0.5000 [3 per cell]
Hf1 0.0000 0.5000 0.5000 [9 per cell]
S1 0.0000 0.0000 0.2478 [6 per cell]
S2 0.0163 0.5082 0.7498 [18 per cell]


Record 4
Entry from the Alexandria database: an optimized crystal structure of Li3Pu2HfS6 (PBE).

Values from the calculation:
The calculation puts the energy relative to the elements, uncorrected at -1.547 eV per atom. The value obtained for the total energy is -7.31 eV/atom.

a b c (Å): 6.6872 11.6157 6.5093
angles (deg): 90.00 109.82 90.00
Space group C2/m (No. 12)
Asymmetric unit:
Li1 0.0000 0.0000 0.0000 [2 per cell]
Li2 0.0000 0.3429 0.0000 [4 per cell]
Pu1 0.0000 0.1677 0.5000 [4 per cell]
Hf1 0.0000 0.5000 0.5000 [2 per cell]
S1 0.2332 0.5000 0.2545 [4 per cell]
S2 0.2391 0.3439 0.7506 [8 per cell]


Record 5
Entry from the Alexandria database: an optimized crystal structure of Li2PuHfS4 (PBE).

Values from the calculation:
The calculation puts the energy relative to the elements, uncorrected at -1.522 eV per atom. The value obtained for the total energy is -7.10 eV/atom.

a b c (Å): 6.5402 3.7644 6.5942
angles (deg): 90.00 109.59 90.00
Space group P2/m (No. 10)
Asymmetric unit:
Li1 0.0000 0.0000 0.0000 [1 per cell]
Li2 0.0000 0.5000 0.5000 [1 per cell]
Pu1 0.5000 0.0000 0.5000 [1 per cell]
Hf1 0.5000 0.5000 0.0000 [1 per cell]
S1 0.2478 0.5000 0.2283 [2 per cell]
S2 0.2540 0.0000 0.7673 [2 per cell]


Record 6
Entry from the Alexandria database: an optimized crystal structure of Li4Pu3HfSe8 (PBE).

Values from the calculation:
The calculation puts the energy relative to the elements, uncorrected at -1.377 eV per atom. The value obtained for the total energy is -6.91 eV/atom.

a b c (Å): 8.1015 8.1015 19.3568
angles (deg): 90.00 90.00 120.00
Space group R-3m (No. 166, hexagonal axes)
Asymmetric unit:
Li1 0.0000 0.0000 0.0000 [3 per cell]
Li2 0.0000 0.5000 0.0000 [9 per cell]
Pu1 0.0000 0.5000 0.5000 [9 per cell]
Hf1 0.0000 0.0000 0.5000 [3 per cell]
Se1 0.0000 0.0000 0.2528 [6 per cell]
Se2 0.0193 0.5097 0.2503 [18 per cell]


Record 7
Entry from the Alexandria database: an optimized crystal structure of Li2PuHfSe4 (PBE).

Values from the calculation:
The calculation puts the energy relative to the elements, uncorrected at -1.336 eV per atom. The value obtained for the total energy is -6.59 eV/atom.

a b c (Å): 6.8808 3.9305 6.8860
angles (deg): 90.00 109.25 90.00
Space group P2/m (No. 10)
Asymmetric unit:
Li1 0.0000 0.0000 0.0000 [1 per cell]
Li2 0.5000 0.5000 0.0000 [1 per cell]
Pu1 0.0000 0.5000 0.5000 [1 per cell]
Hf1 0.5000 0.0000 0.5000 [1 per cell]
Se1 0.2671 0.5000 0.2520 [2 per cell]
Se2 0.2719 0.0000 0.7553 [2 per cell]


Record 8
Entry from the Alexandria database: an optimized crystal structure of Li2PuHf2Se6 (PBE).

Values from the calculation:
The calculation puts the energy relative to the elements, uncorrected at -1.341 eV per atom. The value obtained for the total energy is -6.70 eV/atom.

a b c (Å): 6.7388 11.8195 6.8782
angles (deg): 90.00 109.23 90.00
Space group C2/m (No. 12)
Asymmetric unit:
Li1 0.0000 0.1627 0.0000 [4 per cell]
Pu1 0.0000 0.0000 0.5000 [2 per cell]
Hf1 0.0000 0.3342 0.5000 [4 per cell]
Se1 0.2264 0.5000 0.7477 [4 per cell]
Se2 0.2429 0.3213 0.2548 [8 per cell]


Record 9
Entry from the Alexandria database: an optimized crystal structure of LiPuHfSe4 (PBE).

Values from the calculation:
The calculation puts the energy relative to the elements, uncorrected at -1.357 eV per atom. The value obtained for the total energy is -7.09 eV/atom.

a b c (Å): 7.8205 8.3700 11.4776
angles (deg): 90.00 90.00 90.00
Space group Imma (No. 74)
Asymmetric unit:
Li1 0.0000 0.2500 0.1282 [4 per cell]
Pu1 0.0000 0.0000 0.5000 [4 per cell]
Hf1 0.2500 0.2500 0.7500 [4 per cell]
Se1 0.0000 0.0255 0.7525 [8 per cell]
Se2 0.2502 0.2500 0.5168 [8 per cell]


Record 10
Entry from the Alexandria database: an optimized crystal structure of Li3Pu2HfSe6 (PBE).

Values from the calculation:
The calculation puts the energy relative to the elements, uncorrected at -1.373 eV per atom. The value obtained for the total energy is -6.81 eV/atom.

a b c (Å): 6.9784 12.1059 6.8565
angles (deg): 90.00 109.80 90.00
Space group C2/m (No. 12)
Asymmetric unit:
Li1 0.0000 0.0000 0.0000 [2 per cell]
Li2 0.0000 0.3388 0.0000 [4 per cell]
Pu1 0.0000 0.1675 0.5000 [4 per cell]
Hf1 0.0000 0.5000 0.5000 [2 per cell]
Se1 0.2311 0.5000 0.2511 [4 per cell]
Se2 0.2409 0.3436 0.7539 [8 per cell]


Record 11
Entry from the Alexandria database: an optimized crystal structure of LiPu2HfSe4 (PBE).

Values from the calculation:
The calculation puts the energy relative to the elements, uncorrected at -1.334 eV per atom. The value obtained for the total energy is -8.14 eV/atom.

a b c (Å): 6.8027 3.9994 7.0401
angles (deg): 90.00 109.72 90.00
Space group P2/m (No. 10)
Asymmetric unit:
Li1 0.0000 0.0000 0.0000 [1 per cell]
Pu1 0.5000 0.0000 0.5000 [1 per cell]
Pu2 0.5000 0.5000 0.0000 [1 per cell]
Hf1 0.0000 0.5000 0.5000 [1 per cell]
Se1 0.2253 0.5000 0.2455 [2 per cell]
Se2 0.2279 0.0000 0.7438 [2 per cell]


Record 12
Entry from the Alexandria database: an optimized crystal structure of LiPuHfTc (PBE).

Values from the calculation:
The value obtained for the total energy is -9.12 eV/atom. The calculation puts the formation energy at 0.1 eV per formula unit.

a b c (Å): 6.6942 6.6942 6.6942
angles (deg): 90.00 90.00 90.00
Space group F-43m (No. 216)
Asymmetric unit:
Li1 0.0000 0.0000 0.0000 [4 per cell]
Pu1 0.2500 0.2500 0.2500 [4 per cell]
Hf1 0.2500 0.2500 0.7500 [4 per cell]
Tc1 0.0000 0.0000 0.5000 [4 per cell]